i:
Compound: LaPmTmAl
Source: Alexandria via LeMat-Bulk
Functional: PBE
Structure: optimized geometry

Cell lengths 5.4643, 5.4643, 5.4643 Å; angles 60.00, 60.00, 60.00 degrees
With the nearest neighbours (Å) after each atom.
Atoms (fractional coordinates):
Tm1 0.7500 0.7500 0.7500  4 Pm 3.35, 4 La 3.35
La1 0.5000 0.5000 0.5000  4 Tm 3.35, 4 Al 3.35
Al1 0.2500 0.2500 0.2500  4 Pm 3.35, 4 La 3.35
Pm1 0.0000 0.0000 0.0000  4 Tm 3.35, 4 Al 3.35

- crystal system = cubic

***

ii:
Compound: LaPmTmAl
Source: Alexandria via LeMat-Bulk
Functional: PBE
Structure: optimized geometry

Cell lengths 3.5514, 3.5514, 9.3095 Å; angles 90.00, 90.00, 90.00 degrees
With the nearest neighbours (Å) after each atom.
Atoms (fractional coordinates):
La1 0.0000 0.0000 0.0820  4 La 3.55, 4 Tm 3.64, 4 Pm 3.79
Tm1 0.5000 0.5000 0.3646  4 Al 3.11
Al1 0.0000 0.0000 0.5614  4 Tm 3.11, 4 Pm 3.21
Pm1 0.5000 0.5000 0.7767  4 Al 3.21, 4 Pm 3.55

- crystal system = tetragonal

***

Least stable structure: i

***

i:
Compound: LaPmAlZn
Source: Alexandria via LeMat-Bulk
Functional: PBE
Structure: optimized geometry

Cell lengths 3.6921, 3.6921, 7.6178 Å; angles 90.00, 90.00, 90.00 degrees
With the nearest neighbours (Å) after each atom.
Atoms (fractional coordinates):
Zn1 0.5000 0.5000 0.5912  4 Pm 3.14, 4 La 3.30
La1 0.0000 0.0000 0.8565  4 Al 3.28, 4 Zn 3.30
Pm1 0.0000 0.0000 0.3622  4 Zn 3.14, 4 Al 3.20
Al1 0.5000 0.5000 0.1182  4 Pm 3.20, 4 La 3.28

- crystal system = tetragonal

***

ii:
Compound: LaPmAlZn
Source: Alexandria via LeMat-Bulk
Functional: PBE
Structure: optimized geometry

Cell lengths 5.2935, 5.2935, 5.2935 Å; angles 60.00, 60.00, 60.00 degrees
With the nearest neighbours (Å) after each atom.
Atoms (fractional coordinates):
Pm1 0.7500 0.7500 0.7500  4 Zn 3.24, 4 Al 3.24
Al1 0.5000 0.5000 0.5000  4 Pm 3.24, 4 La 3.24
Zn1 0.0000 0.0000 0.0000  4 La 3.24, 4 Pm 3.24
La1 0.2500 0.2500 0.2500  4 Al 3.24, 4 Zn 3.24

- crystal system = cubic

***

Least stable structure: ii

***

i:
Compound: La4Pr2Al
Source: Alexandria via LeMat-Bulk
Functional: PBE
Structure: optimized geometry

Cell lengths 11.0190, 6.7259, 9.1101 Å; angles 135.23, 90.00, 90.00 degrees
With the nearest neighbours (Å) after each atom.
Atoms (fractional coordinates):
La1 0.2489 0.2527 0.0009  2 Al 3.22-3.23, 2 La 3.36, 2 Pr 3.51-3.54
Al1 0.5000 0.5000 0.0000  4 La 3.22-3.23, 2 Pr 3.53
La2 0.2511 0.7527 0.0009  2 Al 3.22-3.23, 2 La 3.36, 2 Pr 3.51-3.54
La3 0.6551 0.9992 0.4988  4 La 3.42-3.83, 2 Al 3.63-3.64, 2 Pr 3.76-3.77
Pr1 0.5003 0.2126 0.2605  2 Pr 3.17-3.38, 2 La 3.51-3.54, 1 Al 3.53
La4 0.3449 0.0008 0.5012  4 La 3.42-3.83, 2 Al 3.63-3.64, 2 Pr 3.76-3.77
Pr2 0.4997 0.7874 0.7395  2 Pr 3.17-3.38, 2 La 3.51-3.54, 1 Al 3.53
La5 0.1551 0.5008 0.5012  4 La 3.42-3.83, 2 Al 3.63-3.64, 2 Pr 3.76-3.77
La6 0.7489 0.2473 0.9991  2 Al 3.22-3.23, 2 La 3.36, 2 Pr 3.51-3.54
La7 0.8449 0.4992 0.4988  4 La 3.42-3.83, 2 Al 3.63-3.64, 2 Pr 3.76-3.77
Al2 0.0000 0.0000 0.0000  4 La 3.22-3.23, 2 Pr 3.53
Pr3 0.9997 0.7126 0.2605  2 Pr 3.17-3.38, 2 La 3.51-3.54, 1 Al 3.53
Pr4 0.0003 0.2874 0.7395  2 Pr 3.17-3.38, 2 La 3.51-3.54, 1 Al 3.53
La8 0.7511 0.7473 0.9991  2 Al 3.22-3.23, 2 La 3.36, 2 Pr 3.51-3.54

- crystal system = monoclinic

***

ii:
Compound: La4Pr2Al
Source: Alexandria via LeMat-Bulk
Functional: PBE
Structure: optimized geometry

Cell lengths 3.7405, 3.7405, 20.3535 Å; angles 84.73, 84.73, 60.00 degrees
With the nearest neighbours (Å) after each atom.
Atoms (fractional coordinates):
La1 0.7052 0.7052 0.8845  3 Al 3.18
La2 0.2948 0.2948 0.1155  3 Al 3.18
Pr1 0.1917 0.1917 0.4248  3 La 3.72, 9 Pr 3.73-3.74
La3 0.9082 0.9082 0.2754  3 Pr 3.72, 9 La 3.74-3.89
La4 0.0918 0.0918 0.7246  3 Pr 3.72, 9 La 3.74-3.89
Pr2 0.8083 0.8083 0.5752  3 La 3.72, 9 Pr 3.73-3.74
Al1 0.0000 0.0000 0.0000  6 La 3.18

- crystal system = trigonal

***

Least stable structure: i

***

i:
Compound: La4PrAl2
Source: Alexandria via LeMat-Bulk
Functional: PBE
Structure: optimized geometry

Cell lengths 5.9538, 5.9538, 7.6968 Å; angles 112.75, 112.75, 90.00 degrees
With the nearest neighbours (Å) after each atom.
Atoms (fractional coordinates):
La1 0.0000 0.5000 0.0000  2 Pr 2.98, 2 La 3.22, 4 Al 3.31
La2 0.5000 0.0000 0.0000  2 Pr 2.98, 2 La 3.22, 4 Al 3.31
Pr1 0.0000 0.0000 0.0000  4 La 2.98
La3 0.7500 0.2500 0.5000  2 La 3.22, 4 Al 3.47
La4 0.2500 0.7500 0.5000  2 La 3.22, 4 Al 3.47
Al1 0.3881 0.3881 0.7762  1 Al 2.88
Al2 0.6119 0.6119 0.2238  1 Al 2.88

- crystal system = tetragonal

***

ii:
Compound: La4PrAl2
Source: Alexandria via LeMat-Bulk
Functional: PBE
Structure: optimized geometry

Cell lengths 5.4945, 5.4945, 9.0025 Å; angles 72.23, 72.23, 60.00 degrees
With the nearest neighbours (Å) after each atom.
Atoms (fractional coordinates):
La1 0.8490 0.8490 0.4530  1 Al 3.19, 3 La 3.27
La2 0.1510 0.1510 0.5470  1 Al 3.19, 3 La 3.27
Al1 0.7227 0.7227 0.8320  5 La 3.19-3.30, 3 Pr 3.47
La3 0.5921 0.5921 0.2238  4 Al 3.21-3.30
La4 0.4079 0.4079 0.7762  4 Al 3.21-3.30
Pr1 0.0000 0.0000 0.0000  6 Al 3.47, 8 La 3.69-3.82
Al2 0.2773 0.2773 0.1680  5 La 3.19-3.30, 3 Pr 3.47

- crystal system = trigonal

***

Least stable structure: i